## Pr4In2O (PBE)

Data for a relaxed structure of Pr4In2O.

Cell lengths 5.1895, 23.9085, 3.5914 Å; angles 90.00, 90.00, 90.00 degrees
With the nearest neighbours (Å) after each atom.
Space group Cmmm (No. 65)
Unique sites:
Pr  0.0000  0.0694  0.0000  2 O 2.44
Pr  0.0000  0.2026  0.5000  4 In 3.32, 6 Pr 3.45-3.66
In  0.0000  0.3399  0.0000  6 Pr 3.32-3.38, 2 In 3.59
O  0.0000  0.0000  0.5000  4 Pr 2.44

## Properties
The raw formation energy is -18.133 kcal/mol of atoms. The density comes out at 6.032 g/cm3. The density of states at the Fermi level is 10.32 states/eV/cell. The value obtained for the energy relative to the lowest polymorph listed for this composition is 0.249 eV/atom.


## SrCa2W (PBE)

Data for a relaxed structure of SrCa2W.

Cell lengths 4.9703, 4.9969, 5.0724 Å; angles 90.00, 90.00, 90.00 degrees
With the nearest neighbours (Å) after each atom.
Space group Pmmm (No. 47)
Unique sites:
Sr  0.0000  0.0000  0.0000  4 W 3.52, 8 Ca 3.55-3.56
Ca  0.0000  0.5000  0.5000  4 Ca 3.52, 4 W 3.55, 4 Sr 3.56
Ca  0.5000  0.0000  0.5000  4 Ca 3.52, 4 Sr 3.55, 4 W 3.56
W  0.5000  0.5000  0.0000  4 Sr 3.52, 8 Ca 3.55-3.56

## Properties
The density comes out at 4.635 g/cm3. The formation energy is 99.5 kJ/mol of atoms. The density of states at the Fermi level is 5.40 states/eV/cell. The value obtained for the energy relative to the lowest polymorph listed for this composition is 0.190 eV/atom.


## Th6Te3Ru2Pb (PBE)

Data for a relaxed structure of Th6Te3Ru2Pb.

Cell lengths 19.4655, 4.2906, 9.1960 Å; angles 90.00, 106.72, 90.00 degrees
With the nearest neighbours (Å) after each atom.
Space group C2/m (No. 12)
Unique sites:
Th  0.0231  0.0000  0.2637  1 Ru 2.77
Th  0.1721  0.5000  0.1333  2 Ru 2.89, 1 Pb 3.22
Th  0.1796  0.5000  0.5634  3 Ru 2.77-2.92
Te  0.0000  0.5000  0.5000  6 Th 3.18-3.37
Te  0.1566  0.0000  0.8407  6 Th 3.28-3.46
Ru  0.1717  0.0000  0.3433  6 Th 2.77-2.92
Pb  0.0000  0.5000  0.0000  6 Th 3.17-3.22

## Properties
The raw formation energy is -18.561 kcal/mol of atoms. The density comes out at 9.863 g/cm3. The density of states at the Fermi level is 15.24 states/eV/cell.


## NaLiPrBi (PBE)

Data for a relaxed structure of NaLiPrBi.

Cell lengths 7.6869, 7.6869, 7.6869 Å; angles 90.00, 90.00, 90.00 degrees
With the nearest neighbours (Å) after each atom.
Space group F-43m (No. 216)
Unique sites:
Na  0.0000  0.0000  0.0000  4 Li 3.33, 4 Bi 3.33
Li  0.2500  0.2500  0.2500  4 Na 3.33, 4 Pr 3.33
Pr  0.0000  0.0000  0.5000  4 Bi 3.33, 4 Li 3.33
Bi  0.2500  0.2500  0.7500  4 Na 3.33, 4 Pr 3.33

## Properties
The density comes out at 5.554 g/cm3. The formation energy is -27.8 kJ/mol of atoms. The density of states at the Fermi level is 8.61 states/eV/cell.


## Ba2YW (PBE)

Data for a relaxed structure of Ba2YW.

Cell lengths 4.7294, 4.7445, 11.8634 Å; angles 90.00, 90.00, 90.00 degrees
With the nearest neighbours (Å) after each atom.
Space group Cmmm (No. 65)
Unique sites:
Ba  0.0000  0.0000  0.2092  4 Ba 3.35, 4 W 3.43
Y  0.0000  0.5000  0.5000  4 Y 3.35
W  0.0000  0.5000  0.0000  4 W 3.35, 8 Ba 3.43

## Properties
The density comes out at 6.829 g/cm3. The formation energy is 110.9 kJ/mol of atoms. The density of states at the Fermi level is 9.54 states/eV/cell. The value obtained for the energy relative to the lowest polymorph listed for this composition is 0.403 eV/atom.


## TbPmGaAu (PBE)

Data for a relaxed structure of TbPmGaAu.

Cell lengths 7.3274, 7.3274, 7.3274 Å; angles 90.00, 90.00, 90.00 degrees
With the nearest neighbours (Å) after each atom.
Space group F-43m (No. 216)
Unique sites:
Tb  0.0000  0.0000  0.0000  4 Ga 3.17, 4 Au 3.17
Pm  0.0000  0.0000  0.5000  4 Au 3.17, 4 Ga 3.17
Ga  0.2500  0.2500  0.2500  4 Tb 3.17, 4 Pm 3.17
Au  0.2500  0.2500  0.7500  4 Tb 3.17, 4 Pm 3.17

## Properties
The density comes out at 9.634 g/cm3. The formation energy is -63.3 kJ/mol of atoms. The density of states at the Fermi level is 15.41 states/eV/cell. The value obtained for the energy relative to the lowest polymorph listed for this composition is 0.032 eV/atom.


## BaTm4Te6 (PBE)

Data for a relaxed structure of BaTm4Te6.

Cell lengths 4.4106, 14.2724, 22.5818 Å; angles 90.00, 90.00, 90.00 degrees
With the nearest neighbours (Å) after each atom.
Space group Cmcm (No. 63)
Unique sites:
Ba  0.0000  0.1569  0.2500  6 Te 3.43-3.49
Tm  0.0000  0.0945  0.6242  6 Te 2.99-3.11
Tm  0.0000  0.3596  0.5363  6 Te 3.02-3.09
Te  0.0000  0.0000  0.0000  6 Tm 3.09-3.11
Te  0.0000  0.1593  0.7500  2 Tm 2.99
Te  0.0000  0.2659  0.0873  5 Tm 3.07-3.09
Te  0.0000  0.4580  0.6549  3 Tm 3.02

## Properties
The raw formation energy is -31.871 kcal/mol of atoms. The density comes out at 7.376 g/cm3. The density of states at the Fermi level is 16.21 states/eV/cell.


## AcSmPb4 (PBE)

Data for a relaxed structure of AcSmPb4.

Cell lengths 9.2546, 9.2546, 9.2546 Å; angles 90.00, 90.00, 90.00 degrees
With the nearest neighbours (Å) after each atom.
Space group F-43m (No. 216)
Unique sites:
Ac  0.0000  0.0000  0.0000  12 Pb 3.84, 4 Sm 4.01
Sm  0.2500  0.2500  0.7500  12 Pb 3.84, 4 Ac 4.01
Pb  0.1245  0.1245  0.3755  6 Pb 3.26-3.28

## Properties
The density comes out at 10.107 g/cm3. The formation energy is -21.2 kJ/mol of atoms. The density of states at the Fermi level is 26.27 states/eV/cell.


## LiFe2Cl (PBE)

Data for a relaxed structure of LiFe2Cl.

Cell lengths 3.2676, 3.2676, 5.3705 Å; angles 90.00, 90.00, 90.00 degrees
With the nearest neighbours (Å) after each atom.
Space group P4/mmm (No. 123)
Unique sites:
Li  0.0000  0.0000  0.0000  8 Fe 2.58, 2 Cl 2.69
Fe  0.5000  0.5000  0.2142  1 Fe 2.30
Cl  0.0000  0.0000  0.5000  2 Li 2.69, 8 Fe 2.77

## Properties
The raw formation energy is 9.270 kcal/mol of atoms. The density comes out at 4.462 g/cm3. The density of states at the Fermi level is 5.04 states/eV/cell. The value obtained for the energy relative to the lowest polymorph listed for this composition is 0.585 eV/atom.


## TlTc2AuI (PBE)

Data for a relaxed structure of TlTc2AuI.

Cell lengths 5.2927, 5.2927, 5.9833 Å; angles 90.00, 90.00, 90.00 degrees
With the nearest neighbours (Å) after each atom.
Space group P4/mmm (No. 123)
Unique sites:
Tl  0.0000  0.0000  0.0000  4 Tc 2.65
Tc  0.0000  0.5000  0.0000  2 Tl 2.65
Au  0.5000  0.5000  0.5000  4 I 3.74, 8 Tc 3.99
I  0.0000  0.0000  0.5000  2 Tl 2.99

## Properties
The raw formation energy is 47.901 kcal/mol of atoms. The density comes out at 7.176 g/cm3. The density of states at the Fermi level is 4.98 states/eV/cell.


## TmSnPt (PBE)

Data for a relaxed structure of TmSnPt.

Cell lengths 7.4734, 7.4734, 3.9822 Å; angles 90.00, 90.00, 120.00 degrees
With the nearest neighbours (Å) after each atom.
Space group P-62m (No. 189)
Unique sites:
Tm  0.0000  0.4042  0.0000  5 Pt 3.02, 6 Sn 3.20-3.32
Sn  0.0000  0.7394  0.5000  4 Pt 2.79-2.80
Pt  0.0000  0.0000  0.0000  6 Sn 2.79, 3 Tm 3.02
Pt  0.3333  0.6667  0.5000  3 Sn 2.80, 6 Tm 3.02

## Properties
The density comes out at 12.485 g/cm3. The formation energy is -105.8 kJ/mol of atoms. The density of states at the Fermi level is 2.93 states/eV/cell.


## NdMg2H8Os (PBE)

Data for a relaxed structure of NdMg2H8Os.

Cell lengths 4.4955, 4.4955, 6.6113 Å; angles 90.00, 90.00, 120.00 degrees
With the nearest neighbours (Å) after each atom.
Space group P-3m1 (No. 164)
Unique sites:
Nd  0.0000  0.0000  0.0000  12 H 2.56-2.63
Mg  0.3333  0.6667  0.3627  1 H 1.98
H  0.1685  0.3370  0.6671  1 Os 1.71
H  0.3333  0.6667  0.0638  1 Mg 1.98
Os  0.0000  0.0000  0.5000  6 H 1.71

## Properties
The final energy comes out at -4.18 eV/atom. The density comes out at 5.613 g/cm3. The density of states at the Fermi level is 2.86 states/eV/cell.


## TiH3Br (PBE)

Data for a relaxed structure of TiH3Br.

Cell lengths 3.8381, 3.8381, 3.8381 Å; angles 90.00, 90.00, 90.00 degrees
With the nearest neighbours (Å) after each atom.
Space group Pm-3m (No. 221)
Unique sites:
Ti  0.0000  0.0000  0.0000  12 H 2.71
H  0.0000  0.5000  0.5000  2 Br 1.92
Br  0.5000  0.5000  0.5000  6 H 1.92

## Properties
The density comes out at 3.841 g/cm3. The density of states at the Fermi level is 3.73 states/eV/cell. The value obtained for the energy relative to the lowest polymorph listed for this composition is 1.126 eV/atom.


## NaTm4Tl7 (PBE)

Data for a relaxed structure of NaTm4Tl7.

Cell lengths 14.0373, 5.4408, 11.2708 Å; angles 90.00, 125.08, 90.00 degrees
With the nearest neighbours (Å) after each atom.
Space group C2/m (No. 12)
Unique sites:
Na  0.0000  0.0000  0.0000  2 Tl 2.72
Tm  0.0801  0.5000  0.7848  8 Tl 3.09-3.25
Tm  0.2118  0.5000  0.3353  8 Tl 3.12-3.28
Tl  0.0000  0.5000  0.0000  2 Na 2.72
Tl  0.0752  0.0000  0.3209  1 Na 3.13, 5 Tm 3.25-3.28, 2 Tl 3.41-3.46
Tl  0.1356  0.5000  0.5562  5 Tm 3.09-3.25, 2 Tl 3.25-3.46
Tl  0.2217  0.0000  0.8858  4 Tm 3.11-3.17, 2 Tl 3.34-3.41

## Properties
The density comes out at 10.039 g/cm3. The formation energy is -7.8 kJ/mol of atoms. The density of states at the Fermi level is 10.01 states/eV/cell.


## BaBiAu (PBE)

Data for a relaxed structure of BaBiAu.

Cell lengths 5.7444, 5.7444, 6.9916 Å; angles 90.00, 90.00, 120.00 degrees
With the nearest neighbours (Å) after each atom.
Space group P6_3/mmc (No. 194)
Unique sites:
Ba  0.3333  0.6667  0.2500  5 Bi 3.32-3.50
Bi  0.3333  0.6667  0.7500  5 Ba 3.32-3.50
Au  0.0000  0.0000  0.0000  2 Au 3.50, 6 Ba 3.75, 6 Bi 3.75

## Properties
The density comes out at 9.030 g/cm3. The formation energy is -27.3 kJ/mol of atoms. The density of states at the Fermi level is 1.61 states/eV/cell.


## VPt (PBE)

Data for a relaxed structure of VPt.

Cell lengths 7.7617, 7.7617, 4.2041 Å; angles 90.00, 90.00, 90.00 degrees
With the nearest neighbours (Å) after each atom.
Space group P4/m (No. 83)
Unique sites:
V  0.0402  0.3376  0.0000  4 Pt 2.54-2.66, 3 V 2.55-2.60
V  0.1857  0.4542  0.5000  2 V 2.55, 4 Pt 2.59-2.69
Pt  0.1088  0.7789  0.5000  4 V 2.56-2.69, 4 Pt 2.70-2.79
Pt  0.2849  0.6213  0.0000  4 V 2.54-2.66, 4 Pt 2.71-2.79

## Properties
The density comes out at 12.904 g/cm3. The formation energy is -24.4 kJ/mol of atoms. The density of states at the Fermi level is 15.11 states/eV/cell.


## SmScAlIr (PBE)

Data for a relaxed structure of SmScAlIr.

Cell lengths 6.9101, 6.9101, 6.9101 Å; angles 90.00, 90.00, 90.00 degrees
With the nearest neighbours (Å) after each atom.
Space group F-43m (No. 216)
Unique sites:
Sm  0.0000  0.0000  0.0000  4 Ir 2.99, 4 Al 2.99
Sc  0.0000  0.0000  0.5000  4 Al 2.99, 4 Ir 2.99
Al  0.2500  0.2500  0.7500  4 Sc 2.99, 4 Sm 2.99
Ir  0.2500  0.2500  0.2500  4 Sc 2.99, 4 Sm 2.99

## Properties
The density comes out at 8.344 g/cm3. The formation energy is -50.1 kJ/mol of atoms. The density of states at the Fermi level is 13.26 states/eV/cell.


## PaMnNb2 (PBE)

Data for a relaxed structure of PaMnNb2.

Cell lengths 3.9398, 3.9398, 17.9769 Å; angles 90.00, 90.00, 120.00 degrees
With the nearest neighbours (Å) after each atom.
Space group R-3m (No. 166, hexagonal axes)
Unique sites:
Pa  0.0000  0.0000  0.0000  6 Nb 3.05
Mn  0.0000  0.0000  0.5000  6 Nb 2.47
Nb  0.0000  0.0000  0.2206  3 Mn 2.47

## Properties
The density comes out at 9.726 g/cm3. The formation energy is 43.1 kJ/mol of atoms. The density of states at the Fermi level is 14.09 states/eV/cell. The value obtained for the energy relative to the lowest polymorph listed for this composition is 0.248 eV/atom.


## Tb5Hg2RuRh2 (PBE)

Data for a relaxed structure of Tb5Hg2RuRh2.

Cell lengths 11.5893, 11.5893, 3.5453 Å; angles 90.00, 90.00, 90.00 degrees
With the nearest neighbours (Å) after each atom.
Space group P4/mbm (No. 127)
Unique sites:
Tb  0.0000  0.5000  0.0000  4 Rh 2.80
Tb  0.0764  0.1916  0.0000  2 Rh 2.78, 2 Ru 2.98
Hg  0.1748  0.6748  0.5000  1 Rh 3.16, 6 Tb 3.37-3.39
Ru  0.0000  0.0000  0.5000  8 Tb 2.98
Rh  0.1325  0.3675  0.5000  6 Tb 2.78-2.80

## Properties
The density comes out at 10.480 g/cm3. The formation energy is -48.2 kJ/mol of atoms. The density of states at the Fermi level is 12.29 states/eV/cell.


## Tl3CdSe (PBE)

Data for a relaxed structure of Tl3CdSe.

Cell lengths 5.5969, 5.5969, 5.5969 Å; angles 90.00, 90.00, 90.00 degrees
With the nearest neighbours (Å) after each atom.
Space group Pm-3m (No. 221)
Unique sites:
Tl  0.0000  0.0000  0.5000  2 Cd 2.80
Cd  0.0000  0.0000  0.0000  6 Tl 2.80
Se  0.5000  0.5000  0.5000  12 Tl 3.96

## Properties
The raw formation energy is 4.572 kcal/mol of atoms. The density comes out at 7.620 g/cm3. The density of states at the Fermi level is 1.78 states/eV/cell. The value obtained for the energy relative to the lowest polymorph listed for this composition is 0.033 eV/atom.


## SmDy3Tl (PBE)

Data for a relaxed structure of SmDy3Tl.

Cell lengths 5.2808, 7.8042, 7.6931 Å; angles 90.00, 90.09, 90.00 degrees
With the nearest neighbours (Å) after each atom.
Space group P2_1/m (No. 11)
Unique sites:
Sm  0.2501  0.2500  0.0619  1 Tl 3.01, 2 Dy 3.33
Dy  0.2493  0.5405  0.7196  3 Tl 3.06-3.38, 1 Dy 3.27
Dy  0.2505  0.7500  0.2022  2 Sm 3.33, 4 Dy 3.53
Tl  0.2513  0.2500  0.4525  1 Sm 3.01, 2 Dy 3.06

## Properties
The density comes out at 8.822 g/cm3. The formation energy is -2.3 kJ/mol of atoms. The density of states at the Fermi level is 8.78 states/eV/cell. The value obtained for the energy relative to the lowest polymorph listed for this composition is 0.095 eV/atom.


## Y2MnPb (PBE)

Data for a relaxed structure of Y2MnPb.

Cell lengths 3.6706, 3.6706, 7.6051 Å; angles 90.00, 90.00, 90.00 degrees
With the nearest neighbours (Å) after each atom.
Space group P4/mmm (No. 123)
Unique sites:
Y  0.0000  0.0000  0.2260  4 Mn 3.11, 4 Pb 3.33, 1 Y 3.44
Mn  0.5000  0.5000  0.0000  8 Y 3.11
Pb  0.5000  0.5000  0.5000  8 Y 3.33, 4 Pb 3.67

## Properties
The density comes out at 7.130 g/cm3. The formation energy is -12.9 kJ/mol of atoms. The density of states at the Fermi level is 4.29 states/eV/cell.


## Li2TmNpS4 (PBE)

Data for a relaxed structure of Li2TmNpS4.

Cell lengths 6.5721, 3.8964, 6.7641 Å; angles 90.00, 110.32, 90.00 degrees
With the nearest neighbours (Å) after each atom.
Space group P2/m (No. 10)
Unique sites:
Li  0.0000  0.0000  0.0000  6 S 2.74-2.76
Li  0.0000  0.5000  0.5000  6 S 2.71
Tm  0.5000  0.0000  0.5000  6 S 2.71
Np  0.5000  0.5000  0.0000  6 S 2.74-2.76
S  0.2490  0.0000  0.7445  3 Li 2.71-2.76, 1 Tm 2.71, 2 Np 2.74
S  0.2495  0.5000  0.2545  3 Li 2.71-2.74, 2 Tm 2.71, 1 Np 2.76

## Properties
The raw formation energy is -36.655 kcal/mol of atoms. The density comes out at 5.603 g/cm3. The density of states at the Fermi level is 9.26 states/eV/cell.